## ZnMo2Rh (PBE)

Data for crystalline ZnMo2Rh at its relaxed geometry.

a = 3.315 Å, b = 4.087 Å, c = 4.403 Å
α = 90.00°, β = 90.00°, γ = 90.00°
Sites, in units of the cell vectors:
Zn: 0.000 0.000 0.000
Mo: 0.000 0.500 0.500
Mo: 0.500 0.000 0.500
Rh: 0.500 0.500 0.000

Computed properties:
- Magnetization: 0.000 μB per cell
- DOS at the Fermi energy: 3.9 states/eV/f.u.
- E_tot: -7.5637 eV per atom
- Energy relative to the elements: 3 kJ/mol of formula units